Material: Ca3Nd3TmTe8
Method: DFT, PBE
State: optimized geometry

```
data_Ca3Nd3TmTe8
_symmetry_space_group_name_H-M 'R -3 m'
_symmetry_Int_Tables_number 166
_symmetry_space_group_name_Hall '-R 3 2"'
_cell_length_a 8.9123
_cell_length_b 8.9123
_cell_length_c 22.2413
_cell_angle_alpha 90.00
_cell_angle_beta 90.00
_cell_angle_gamma 120.00
loop_
_atom_site_label
_atom_site_type_symbol
_atom_site_fract_x
_atom_site_fract_y
_atom_site_fract_z
Ca1 Ca 0.0000 0.5000 0.0000
Nd1 Nd 0.0000 0.5000 0.5000
Tm1 Tm 0.0000 0.0000 0.5000
Te1 Te 0.0000 0.0000 0.2516
Te2 Te 0.0077 0.5039 0.2487
```

Properties
* volume: 34.001 A^3/atom
* crystal system: trigonal
* formation energy from raw total energies: -1.510 eV/atom
* spin magnetization: 0.00 μB/cell

Material: Ca2NdTmTe4
Method: DFT, PBE
State: optimized geometry

```
data_Ca2NdTmTe4
_symmetry_space_group_name_H-M 'P 1 2/m 1'
_symmetry_Int_Tables_number 10
_cell_length_a 7.663
_cell_length_b 4.412
_cell_length_c 7.795
_cell_angle_alpha 90.00
_cell_angle_beta 109.05
_cell_angle_gamma 90.00
loop_
_symmetry_equiv_pos_as_xyz
'x,y,z'
'-x,-y,-z'
'-x,y,-z'
'x,-y,z'
loop_
_atom_site_label
_atom_site_type_symbol
_atom_site_fract_x
_atom_site_fract_y
_atom_site_fract_z
Ca1 Ca 0.000 0.000 0.000
Ca2 Ca 0.500 0.500 0.000
Nd1 Nd 0.000 0.500 0.500
Tm1 Tm 0.500 0.000 0.500
Te1 Te 0.259 0.000 0.751
Te2 Te 0.260 0.500 0.255
```

Properties
* volume: 31.135 A^3/atom
* crystal system: monoclinic
* formation energy from raw total energies: -1.454 eV/atom
* spin magnetization: 0.00 μB/cell

Material: CaNdTm2Te4
Method: DFT, PBE
State: optimized geometry

```
data_CaNdTm2Te4
_symmetry_space_group_name_H-M 'P 1 2/m 1'
_symmetry_Int_Tables_number 10
_cell_length_a 7.619
_cell_length_b 4.362
_cell_length_c 7.651
_cell_angle_alpha 90.00
_cell_angle_beta 108.95
_cell_angle_gamma 90.00
loop_
_symmetry_equiv_pos_as_xyz
'x,y,z'
'-x,-y,-z'
'-x,y,-z'
'x,-y,z'
loop_
_atom_site_label
_atom_site_type_symbol
_atom_site_fract_x
_atom_site_fract_y
_atom_site_fract_z
Ca1 Ca 0.000 0.000 0.000
Nd1 Nd 0.000 0.500 0.500
Tm1 Tm 0.500 0.000 0.500
Tm2 Tm 0.500 0.500 0.000
Te1 Te 0.262 0.500 0.251
Te2 Te 0.264 0.000 0.758
```

Properties
* volume: 30.062 A^3/atom
* crystal system: monoclinic
* formation energy from raw total energies: -1.348 eV/atom
* spin magnetization: 0.00 μB/cell

Material: CaNdY2Te4
Method: DFT, PBE
State: optimized geometry

```
data_CaNdY2Te4
_symmetry_space_group_name_H-M 'P 1 2/m 1'
_symmetry_Int_Tables_number 10
_cell_length_a 7.671
_cell_length_b 4.396
_cell_length_c 7.711
_cell_angle_alpha 90.00
_cell_angle_beta 108.98
_cell_angle_gamma 90.00
loop_
_symmetry_equiv_pos_as_xyz
'x,y,z'
'-x,-y,-z'
'-x,y,-z'
'x,-y,z'
loop_
_atom_site_label
_atom_site_type_symbol
_atom_site_fract_x
_atom_site_fract_y
_atom_site_fract_z
Ca1 Ca 0.000 0.000 0.000
Nd1 Nd 0.000 0.500 0.500
Y1 Y 0.500 0.000 0.500
Y2 Y 0.500 0.500 0.000
Te1 Te 0.256 0.500 0.249
Te2 Te 0.258 0.000 0.757
```

Properties
* volume: 30.742 A^3/atom
* crystal system: monoclinic
* formation energy from raw total energies: -1.415 eV/atom
* spin magnetization: 0.00 μB/cell

Material: Ca3Nd3YTe8
Method: DFT, PBE
State: optimized geometry

```
data_Ca3Nd3YTe8
_symmetry_space_group_name_H-M 'R -3 m'
_symmetry_Int_Tables_number 166
_symmetry_space_group_name_Hall '-R 3 2"'
_cell_length_a 8.9201
_cell_length_b 8.9201
_cell_length_c 22.2420
_cell_angle_alpha 90.00
_cell_angle_beta 90.00
_cell_angle_gamma 120.00
loop_
_atom_site_label
_atom_site_type_symbol
_atom_site_fract_x
_atom_site_fract_y
_atom_site_fract_z
Ca1 Ca 0.0000 0.5000 0.0000
Nd1 Nd 0.0000 0.5000 0.5000
Y1 Y 0.0000 0.0000 0.5000
Te1 Te 0.0000 0.0000 0.2515
Te2 Te 0.0043 0.5021 0.2495
```

Properties
* volume: 34.060 A^3/atom
* crystal system: trigonal
* formation energy from raw total energies: -1.522 eV/atom
* spin magnetization: 0.00 μB/cell

Material: Ca2NdYTe4
Method: DFT, PBE
State: optimized geometry

```
data_Ca2NdYTe4
_symmetry_space_group_name_H-M 'P 1 2/m 1'
_symmetry_Int_Tables_number 10
_cell_length_a 7.672
_cell_length_b 4.428
_cell_length_c 7.844
_cell_angle_alpha 90.00
_cell_angle_beta 109.04
_cell_angle_gamma 90.00
loop_
_symmetry_equiv_pos_as_xyz
'x,y,z'
'-x,-y,-z'
'-x,y,-z'
'x,-y,z'
loop_
_atom_site_label
_atom_site_type_symbol
_atom_site_fract_x
_atom_site_fract_y
_atom_site_fract_z
Ca1 Ca 0.000 0.000 0.000
Ca2 Ca 0.500 0.500 0.000
Nd1 Nd 0.000 0.500 0.500
Y1 Y 0.500 0.000 0.500
Te1 Te 0.256 0.000 0.752
Te2 Te 0.256 0.500 0.252
```

Properties
* volume: 31.487 A^3/atom
* crystal system: monoclinic
* formation energy from raw total energies: -1.490 eV/atom
* spin magnetization: 0.00 μB/cell

Material: Ca3NdY3Te8
Method: DFT, PBE
State: optimized geometry

```
data_Ca3NdY3Te8
_symmetry_space_group_name_H-M 'R -3 m'
_symmetry_Int_Tables_number 166
_symmetry_space_group_name_Hall '-R 3 2"'
_cell_length_a 8.7933
_cell_length_b 8.7933
_cell_length_c 22.0007
_cell_angle_alpha 90.00
_cell_angle_beta 90.00
_cell_angle_gamma 120.00
loop_
_atom_site_label
_atom_site_type_symbol
_atom_site_fract_x
_atom_site_fract_y
_atom_site_fract_z
Ca1 Ca 0.0000 0.5000 0.0000
Nd1 Nd 0.0000 0.0000 0.5000
Y1 Y 0.0000 0.5000 0.5000
Te1 Te 0.0000 0.0000 0.2483
Te2 Te 0.0113 0.5056 0.7498
```

Properties
* volume: 32.740 A^3/atom
* crystal system: trigonal
* formation energy from raw total energies: -1.499 eV/atom
* spin magnetization: 0.00 μB/cell

Material: Ca3Nd2YTe6
Method: DFT, PBE
State: optimized geometry

```
data_Ca3Nd2YTe6
_symmetry_space_group_name_H-M 'C 1 2/m 1'
_symmetry_Int_Tables_number 12
_cell_length_a 19.651
_cell_length_b 4.436
_cell_length_c 9.031
_cell_angle_alpha 90.00
_cell_angle_beta 104.69
_cell_angle_gamma 90.00
loop_
_symmetry_equiv_pos_as_xyz
'x,y,z'
'-x,-y,-z'
'-x,y,-z'
'x,-y,z'
'x+1/2,y+1/2,z'
'-x+1/2,-y+1/2,-z'
'-x+1/2,y+1/2,-z'
'x+1/2,-y+1/2,z'
loop_
_atom_site_label
_atom_site_type_symbol
_atom_site_fract_x
_atom_site_fract_y
_atom_site_fract_z
Ca1 Ca 0.000 0.000 0.000
Ca2 Ca 0.169 0.500 0.335
Nd1 Nd 0.170 0.500 0.841
Y1 Y 0.000 0.000 0.500
Te1 Te 0.001 0.500 0.256
Te2 Te 0.163 0.000 0.089
Te3 Te 0.164 0.000 0.580
```

Properties
* volume: 31.729 A^3/atom
* crystal system: monoclinic
* formation energy from raw total energies: -1.501 eV/atom
* spin magnetization: 0.00 μB/cell

Material: CaNd3Y2Te6
Method: DFT, PBE
State: optimized geometry

```
data_CaNd3Y2Te6
_symmetry_space_group_name_H-M 'C 1 2/m 1'
_symmetry_Int_Tables_number 12
_cell_length_a 19.469
_cell_length_b 4.422
_cell_length_c 8.976
_cell_angle_alpha 90.00
_cell_angle_beta 104.15
_cell_angle_gamma 90.00
loop_
_symmetry_equiv_pos_as_xyz
'x,y,z'
'-x,-y,-z'
'-x,y,-z'
'x,-y,z'
'x+1/2,y+1/2,z'
'-x+1/2,-y+1/2,-z'
'-x+1/2,y+1/2,-z'
'x+1/2,-y+1/2,z'
loop_
_atom_site_label
_atom_site_type_symbol
_atom_site_fract_x
_atom_site_fract_y
_atom_site_fract_z
Ca1 Ca 0.000 0.000 0.000
Nd1 Nd 0.000 0.000 0.500
Nd2 Nd 0.166 0.500 0.826
Y1 Y 0.169 0.500 0.338
Te1 Te 0.004 0.500 0.246
Te2 Te 0.165 0.000 0.088
Te3 Te 0.168 0.000 0.575
```

Properties
* volume: 31.220 A^3/atom
* crystal system: monoclinic
* formation energy from raw total energies: -1.419 eV/atom
* spin magnetization: 0.00 μB/cell

Material: Ca2Nd6Th
Method: DFT, PBE
State: optimized geometry

```
data_Ca2Nd6Th
_symmetry_space_group_name_H-M 'C 1 2/m 1'
_symmetry_Int_Tables_number 12
_cell_length_a 18.023
_cell_length_b 10.704
_cell_length_c 3.485
_cell_angle_alpha 90.00
_cell_angle_beta 100.99
_cell_angle_gamma 90.00
loop_
_symmetry_equiv_pos_as_xyz
'x,y,z'
'-x,-y,-z'
'-x,y,-z'
'x,-y,z'
'x+1/2,y+1/2,z'
'-x+1/2,-y+1/2,-z'
'-x+1/2,y+1/2,-z'
'x+1/2,-y+1/2,z'
loop_
_atom_site_label
_atom_site_type_symbol
_atom_site_fract_x
_atom_site_fract_y
_atom_site_fract_z
Ca1 Ca 0.159 0.000 0.160
Nd1 Nd 0.000 0.211 0.000
Nd2 Nd 0.166 0.322 0.666
Th1 Th 0.000 0.500 0.500
```

Properties
* volume: 36.669 A^3/atom
* crystal system: monoclinic
* ΔE_f: 18 kJ/mol of atoms
* spin magnetization: 0.00 μB/cell

Material: CaNdTh
Method: DFT, PBE
State: optimized geometry

```
data_CaNdTh
_symmetry_space_group_name_H-M 'P 3 m 1'
_symmetry_Int_Tables_number 156
_cell_length_a 3.6617
_cell_length_b 3.6617
_cell_length_c 9.2098
_cell_angle_alpha 90.00
_cell_angle_beta 90.00
_cell_angle_gamma 120.00
loop_
_symmetry_equiv_pos_as_xyz
'x,y,z'
'-y,x-y,z'
'-x+y,-x,z'
'-y,-x,z'
'-x+y,y,z'
'x,x-y,z'
loop_
_atom_site_label
_atom_site_type_symbol
_atom_site_fract_x
_atom_site_fract_y
_atom_site_fract_z
Ca1 Ca 0.0000 0.0000 0.0000
Nd1 Nd 0.3333 0.6667 0.6439
Th1 Th 0.6667 0.3333 0.3348
```

Properties
* volume: 35.648 A^3/atom
* crystal system: trigonal
* ΔE_f: 10 kJ/mol of atoms
* polymorph energy (0 for the lowest one): 19 kJ/mol of formula units
* spin magnetization: 0.00 μB/cell

Material: CaNd3Th
Method: DFT, PBE
State: optimized geometry

```
data_CaNd3Th
_symmetry_space_group_name_H-M 'C m c m'
_symmetry_Int_Tables_number 63
_symmetry_space_group_name_Hall '-C 2c 2'
_cell_length_a 6.846
_cell_length_b 18.265
_cell_length_c 6.297
_cell_angle_alpha 90.00
_cell_angle_beta 90.00
_cell_angle_gamma 90.00
loop_
_atom_site_label
_atom_site_type_symbol
_atom_site_fract_x
_atom_site_fract_y
_atom_site_fract_z
Ca1 Ca 0.000 0.185 0.250
Nd1 Nd 0.000 0.000 0.000
Nd2 Nd 0.233 0.365 0.250
Th1 Th 0.000 0.460 0.750
```

Properties
* volume: 39.367 A^3/atom
* crystal system: orthorhombic
* ΔE_f: 34 kJ/mol of atoms
* spin magnetization: 0.00 μB/cell

What did the eighth record say?
Material: Ca3Nd2YTe6
Method: DFT, PBE
State: optimized geometry

```
data_Ca3Nd2YTe6
_symmetry_space_group_name_H-M 'C 1 2/m 1'
_symmetry_Int_Tables_number 12
_cell_length_a 19.651
_cell_length_b 4.436
_cell_length_c 9.031
_cell_angle_alpha 90.00
_cell_angle_beta 104.69
_cell_angle_gamma 90.00
loop_
_symmetry_equiv_pos_as_xyz
'x,y,z'
'-x,-y,-z'
'-x,y,-z'
'x,-y,z'
'x+1/2,y+1/2,z'
'-x+1/2,-y+1/2,-z'
'-x+1/2,y+1/2,-z'
'x+1/2,-y+1/2,z'
loop_
_atom_site_label
_atom_site_type_symbol
_atom_site_fract_x
_atom_site_fract_y
_atom_site_fract_z
Ca1 Ca 0.000 0.000 0.000
Ca2 Ca 0.169 0.500 0.335
Nd1 Nd 0.170 0.500 0.841
Y1 Y 0.000 0.000 0.500
Te1 Te 0.001 0.500 0.256
Te2 Te 0.163 0.000 0.089
Te3 Te 0.164 0.000 0.580
```

Properties
* volume: 31.729 A^3/atom
* crystal system: monoclinic
* formation energy from raw total energies: -1.501 eV/atom
* spin magnetization: 0.00 μB/cell